1.
Computed, not measured: crystalline Tl3InSb2 at its relaxed geometry at the GGA-PBE level of DFT.

```
data_Tl3InSb2
_cell_length_a 17.761
_cell_length_b 4.700
_cell_length_c 11.568
_cell_angle_alpha 90.00
_cell_angle_beta 122.12
_cell_angle_gamma 90.00
_space_group_name_H-M_alt 'C 1 2/m 1'
_space_group_IT_number 12
_space_group_name_Hall '-C 2y'
loop_
_atom_site_label
_atom_site_type_symbol
_atom_site_fract_x
_atom_site_fract_y
_atom_site_fract_z
Tl1 Tl 0.053 0.000 0.225
Tl2 Tl 0.119 0.500 0.025
Tl3 Tl 0.235 0.000 0.636
In1 In 0.087 0.500 0.686
Sb1 Sb 0.111 0.500 0.450
Sb2 Sb 0.166 0.000 0.869
```

***

2.
Computed, not measured: crystalline Tl2InSb at its relaxed geometry at the GGA-PBE level of DFT.

```
data_Tl2InSb
_cell_length_a 8.461
_cell_length_b 4.864
_cell_length_c 7.109
_cell_angle_alpha 90.00
_cell_angle_beta 113.58
_cell_angle_gamma 90.00
_space_group_name_H-M_alt 'C 1 m 1'
_space_group_IT_number 8
_space_group_name_Hall 'C -2y'
loop_
_atom_site_label
_atom_site_type_symbol
_atom_site_fract_x
_atom_site_fract_y
_atom_site_fract_z
Tl1 Tl 0.000 0.000 0.000
Tl2 Tl 0.230 0.000 0.693
In1 In 0.418 0.000 0.257
Sb1 Sb 0.316 0.500 0.450
```

Its distance to the lowest polymorph of the same formula is 21.1 meV per atom.

***

3.
Computed, not measured: crystalline TlInSb2 at its relaxed geometry at the GGA-PBE level of DFT.

```
data_TlInSb2
_cell_length_a 3.273
_cell_length_b 3.273
_cell_length_c 10.796
_cell_angle_alpha 90.00
_cell_angle_beta 90.00
_cell_angle_gamma 90.00
_space_group_name_H-M_alt 'P 4 m m'
_space_group_IT_number 99
_space_group_name_Hall 'P 4 -2'
loop_
_atom_site_label
_atom_site_type_symbol
_atom_site_fract_x
_atom_site_fract_y
_atom_site_fract_z
Tl1 Tl 0.000 0.000 0.000
In1 In 0.500 0.500 0.267
Sb1 Sb 0.000 0.000 0.498
Sb2 Sb 0.500 0.500 0.757
```

Its distance to the lowest polymorph of the same formula is 110.4 meV per atom.

***

4.
Computed, not measured: crystalline TlIn2Sb2 at its relaxed geometry at the GGA-PBE level of DFT.

```
data_TlIn2Sb2
_cell_length_a 8.602
_cell_length_b 8.602
_cell_length_c 3.937
_cell_angle_alpha 90.00
_cell_angle_beta 90.00
_cell_angle_gamma 90.00
_space_group_name_H-M_alt 'P 4/m b m'
_space_group_IT_number 127
_space_group_name_Hall '-P 4 2ab'
loop_
_atom_site_label
_atom_site_type_symbol
_atom_site_fract_x
_atom_site_fract_y
_atom_site_fract_z
Tl1 Tl 0.000 0.000 0.000
In1 In 0.138 0.362 0.000
Sb1 Sb 0.155 0.655 0.500
```

Its distance to the lowest polymorph of the same formula is 30.1 meV per atom.

***

5.
Computed, not measured: crystalline TlInSb2 at its relaxed geometry at the GGA-PBE level of DFT.

```
data_TlInSb2
_cell_length_a 5.859
_cell_length_b 5.859
_cell_length_c 3.355
_cell_angle_alpha 90.00
_cell_angle_beta 90.00
_cell_angle_gamma 90.00
_space_group_name_H-M_alt 'P 4/m m m'
_space_group_IT_number 123
_space_group_name_Hall '-P 4 2'
loop_
_atom_site_label
_atom_site_type_symbol
_atom_site_fract_x
_atom_site_fract_y
_atom_site_fract_z
Tl1 Tl 0.000 0.000 0.000
In1 In 0.500 0.500 0.000
Sb1 Sb 0.000 0.500 0.500
```

Its distance to the lowest polymorph of the same formula is 120.1 meV per atom.

***

6.
Computed, not measured: crystalline Tl2In2Sb at its relaxed geometry at the GGA-PBE level of DFT.

```
data_Tl2In2Sb
_cell_length_a 9.288
_cell_length_b 9.288
_cell_length_c 3.434
_cell_angle_alpha 90.00
_cell_angle_beta 90.00
_cell_angle_gamma 90.00
_space_group_name_H-M_alt 'P 4/m b m'
_space_group_IT_number 127
_space_group_name_Hall '-P 4 2ab'
loop_
_atom_site_label
_atom_site_type_symbol
_atom_site_fract_x
_atom_site_fract_y
_atom_site_fract_z
Tl1 Tl 0.166 0.334 0.000
In1 In 0.134 0.634 0.500
Sb1 Sb 0.000 0.000 0.000
```

Its distance to the lowest polymorph of the same formula is 111.6 meV per atom.

***

7.
Computed, not measured: crystalline TlInSb2 at its relaxed geometry at the GGA-PBE level of DFT.

```
data_TlInSb2
_cell_length_a 7.708
_cell_length_b 7.708
_cell_length_c 7.708
_cell_angle_alpha 90.00
_cell_angle_beta 90.00
_cell_angle_gamma 90.00
_space_group_name_H-M_alt 'F -4 3 m'
_space_group_IT_number 216
_space_group_name_Hall 'F -4 2 3'
loop_
_atom_site_label
_atom_site_type_symbol
_atom_site_fract_x
_atom_site_fract_y
_atom_site_fract_z
Tl1 Tl 0.000 0.000 0.000
In1 In 0.250 0.250 0.250
Sb1 Sb 0.000 0.000 0.500
Sb2 Sb 0.250 0.250 0.750
```

Its distance to the lowest polymorph of the same formula is 97.9 meV per atom.

***

8.
Computed, not measured: crystalline Tl2In2Sb at its relaxed geometry at the GGA-PBE level of DFT.

```
data_Tl2In2Sb
_cell_length_a 4.312
_cell_length_b 4.312
_cell_length_c 16.827
_cell_angle_alpha 90.00
_cell_angle_beta 90.00
_cell_angle_gamma 90.00
_space_group_name_H-M_alt 'I 4/m m m'
_space_group_IT_number 139
_space_group_name_Hall '-I 4 2'
loop_
_atom_site_label
_atom_site_type_symbol
_atom_site_fract_x
_atom_site_fract_y
_atom_site_fract_z
Tl1 Tl 0.000 0.500 0.250
In1 In 0.000 0.000 0.090
Sb1 Sb 0.000 0.000 0.500
```

Its distance to the lowest polymorph of the same formula is 128.1 meV per atom.

***

9.
Computed, not measured: crystalline TlInSb2 at its relaxed geometry at the GGA-PBE level of DFT.

```
data_TlInSb2
_cell_length_a 4.089
_cell_length_b 5.427
_cell_length_c 10.931
_cell_angle_alpha 90.00
_cell_angle_beta 90.00
_cell_angle_gamma 90.00
_space_group_name_H-M_alt 'I m m 2'
_space_group_IT_number 44
_space_group_name_Hall 'I 2 -2'
loop_
_atom_site_label
_atom_site_type_symbol
_atom_site_fract_x
_atom_site_fract_y
_atom_site_fract_z
Tl1 Tl 0.000 0.000 0.000
In1 In 0.000 0.500 0.770
Sb1 Sb 0.000 0.000 0.538
Sb2 Sb 0.000 0.500 0.233
```

Its distance to the lowest polymorph of the same formula is 46.5 meV per atom.

***

10.
Computed, not measured: crystalline TlIn2Sb2 at its relaxed geometry at the GGA-PBE level of DFT.

```
data_TlIn2Sb2
_cell_length_a 4.789
_cell_length_b 4.789
_cell_length_c 14.282
_cell_angle_alpha 90.00
_cell_angle_beta 90.00
_cell_angle_gamma 90.00
_space_group_name_H-M_alt 'I 4/m m m'
_space_group_IT_number 139
_space_group_name_Hall '-I 4 2'
loop_
_atom_site_label
_atom_site_type_symbol
_atom_site_fract_x
_atom_site_fract_y
_atom_site_fract_z
Tl1 Tl 0.000 0.000 0.000
In1 In 0.000 0.500 0.250
Sb1 Sb 0.000 0.000 0.383
```

Its distance to the lowest polymorph of the same formula is 0.0 meV per atom.

***

11.
Computed, not measured: crystalline Tl3In12Sb5 at its relaxed geometry at the GGA-PBE level of DFT.

```
data_Tl3In12Sb5
_cell_length_a 17.673
_cell_length_b 17.673
_cell_length_c 17.673
_cell_angle_alpha 90.00
_cell_angle_beta 90.00
_cell_angle_gamma 90.00
_space_group_name_H-M_alt 'I a -3 d'
_space_group_IT_number 230
_space_group_name_Hall '-I 4bd 2c 3'
loop_
_atom_site_label
_atom_site_type_symbol
_atom_site_fract_x
_atom_site_fract_y
_atom_site_fract_z
Tl1 Tl 0.000 0.250 0.125
In1 In 0.016 0.078 0.653
Sb1 Sb 0.000 0.000 0.000
Sb2 Sb 0.000 0.250 0.375
```

***

12.
Computed, not measured: crystalline TlIn2Sb2 at its relaxed geometry at the GGA-PBE level of DFT.

```
data_TlIn2Sb2
_cell_length_a 5.505
_cell_length_b 5.505
_cell_length_c 10.481
_cell_angle_alpha 90.00
_cell_angle_beta 90.00
_cell_angle_gamma 90.00
_space_group_name_H-M_alt 'I 4/m m m'
_space_group_IT_number 139
_space_group_name_Hall '-I 4 2'
loop_
_atom_site_label
_atom_site_type_symbol
_atom_site_fract_x
_atom_site_fract_y
_atom_site_fract_z
Tl1 Tl 0.000 0.000 0.000
In1 In 0.000 0.000 0.365
Sb1 Sb 0.000 0.500 0.250
```

Its distance to the lowest polymorph of the same formula is 29.0 meV per atom.

***

Record-wise formation energy from raw total energies values, in kJ/mol of atoms: -1.2 1.9 11.3 4.7 12.2 14.6 10.1 16.2 5.1 1.8 11.4 4.6